Entry from the Alexandria database: a geometry-optimized CaThMg2Hg4 structure (GGA-PBE).

Unit cell a=5.1349 b=5.1349 c=25.7119 alpha=90.00 beta=90.00 gamma=120.00
Space group R-3m (No. 166, hexagonal axes)
Inequivalent atoms, fractional coordinates:
Ca1 0.0000 0.0000 0.0000 (multiplicity 3)
Th1 0.0000 0.0000 0.5000 (multiplicity 3)
Mg1 0.0000 0.0000 0.2503 (multiplicity 6)
Hg1 0.0000 0.0000 0.1207 (multiplicity 6)
Hg2 0.0000 0.0000 0.3739 (multiplicity 6)

## Properties
Size of the total moment = 0.0 μB/f.u.
Formation enthalpy at 0 K = -0.37 eV/atom
E = -2.094 eV per atom